# 1
Density functional theory data (GGA-PBE) for a geometry-optimized TbZn2Ga structure.

Unit cell a=4.4397 b=4.1922 c=4.1922 alpha=90.00 beta=90.00 gamma=90.00
Atoms (fractional coordinates):
Zn (0.0000, 0.0000, 0.5000)
Zn (0.0000, 0.5000, 0.0000)
Ga (0.5000, 0.0000, 0.0000)
Tb (0.5000, 0.5000, 0.5000)

- N(E_F): 2.7 states/eV/cell
- Raw total energy: -2.895 eV/atom
- Total magnetization: 0.00 Bohr magnetons per cell
- Energy of formation: -0.344 eV/atom



# 2
Density functional theory data (GGA-PBE) for a geometry-optimized Tb4ZnGa structure.

Unit cell a=5.1430 b=6.2941 c=11.0795 alpha=90.00 beta=103.42 gamma=90.00
Atoms (fractional coordinates):
Tb (0.4399, 0.8512, 0.8797)
Tb (0.1180, 0.7957, 0.2361)
Tb (0.3097, 0.5725, 0.6194)
Tb (0.7137, 0.5578, 0.4275)
Tb (0.8820, 0.2957, 0.7639)
Tb (0.5601, 0.3512, 0.1203)
Tb (0.6903, 0.0725, 0.3806)
Tb (0.2863, 0.0578, 0.5725)
Zn (0.4282, 0.3412, 0.8563)
Zn (0.5718, 0.8412, 0.1437)
Ga (0.1602, 0.3150, 0.3205)
Ga (0.8398, 0.8150, 0.6795)

- N(E_F): 11.8 states/eV/cell
- Raw total energy: -3.893 eV/atom
- Total magnetization: 0.00 Bohr magnetons per cell
- Energy of formation: -0.089 eV/atom